PuBeAg2O6 after structural relaxation. Source: Alexandria, functional PBE.

Lattice parameters (Å, degrees): 4.921 5.432 6.049 116.68 114.42 90.00
Each line ends with the local moment (μB).
Sites, in units of the cell vectors:
O 0.327 0.682 0.364  0.08
O 0.223 0.163 0.878  0.11
O 0.777 0.285 0.122  0.11
O 0.223 0.715 0.878  0.11
O 0.777 0.837 0.122  0.11
O 0.673 0.318 0.636  0.08
Ag 0.840 0.774 0.549  0.06
Ag 0.160 0.226 0.451  0.06
Pu 0.000 0.500 0.000  -1.60
Be 0.500 0.000 0.000  0.00

Computed properties:
The calculation puts the total energy at -6.7198 eV/atom. For the uncorrected formation energy, the calculation gives -1.369 eV/atom. Its density of states at the Fermi level is 4.7 states/eV/cell.

BeReAg2O after structural relaxation. Source: Alexandria, functional PBE.

Lattice parameters (Å, degrees): 5.059 4.182 5.059 90.00 90.00 90.00
Sites, in units of the cell vectors:
Ag 0.500 0.000 0.000
Ag 0.000 0.000 0.500
O 0.500 0.500 0.500
Re 0.000 0.000 0.000
Be 0.000 0.500 0.000

Computed properties:
The calculation puts the total energy at -3.3142 eV/atom. For the uncorrected formation energy, the calculation gives 2.053 eV/atom. Its density of states at the Fermi level is 8.4 states/eV/cell.

BeAgS2O8 after structural relaxation. Source: Alexandria, functional PBE.

Lattice parameters (Å, degrees): 4.666 4.666 6.900 89.82 89.82 67.48
Each line ends with the local moment (μB).
Sites, in units of the cell vectors:
S 0.343 0.343 0.782  0.00
S 0.657 0.657 0.218  0.00
O 0.269 0.269 0.584  0.06
O 0.689 0.219 0.799  0.04
O 0.211 0.211 0.935  0.01
O 0.789 0.789 0.065  0.01
O 0.311 0.781 0.201  0.04
O 0.731 0.731 0.416  0.06
O 0.781 0.311 0.201  0.04
O 0.219 0.689 0.799  0.04
Ag 0.000 0.000 0.500  0.24
Be 0.000 0.000 0.000  0.00

Computed properties:
The calculation puts the total energy at -5.7765 eV/atom. For the uncorrected formation energy, the calculation gives -1.235 eV/atom. Its density of states at the Fermi level is 4.6 states/eV/cell.

BeAgSbO4 after structural relaxation. Source: Alexandria, functional PBE.

Lattice parameters (Å, degrees): 5.174 5.174 5.263 119.44 119.44 90.00
Sites, in units of the cell vectors:
O 0.361 0.784 0.271
O 0.216 0.090 0.729
O 0.513 0.639 0.729
O 0.910 0.487 0.271
Ag 0.000 0.000 0.000
Be 0.250 0.750 0.500
Sb 0.500 0.500 0.000

Computed properties:
The calculation puts the total energy at -5.7309 eV/atom. For the uncorrected formation energy, the calculation gives -1.369 eV/atom.

Be2AgSeO6 after structural relaxation. Source: Alexandria, functional PBE.

Lattice parameters (Å, degrees): 5.141 7.232 7.232 98.25 75.64 75.64
Each line ends with the local moment (μB).
Sites, in units of the cell vectors:
O 0.463 0.709 0.461  0.01
O 0.037 0.539 0.291  0.01
O 0.685 0.670 0.074  0.01
O 0.371 0.165 0.222  0.24
O 0.537 0.291 0.539  0.01
O 0.629 0.835 0.778  0.24
O 0.129 0.778 0.835  0.24
O 0.185 0.074 0.670  0.01
O 0.315 0.330 0.926  0.01
O 0.815 0.926 0.330  0.01
O 0.871 0.222 0.165  0.24
O 0.963 0.461 0.709  0.01
Ag 0.750 0.079 0.921  0.35
Ag 0.250 0.921 0.079  0.35
Se 0.750 0.709 0.291  0.00
Se 0.250 0.291 0.709  0.00
Be 0.371 0.837 0.689  0.00
Be 0.129 0.311 0.163  0.00
Be 0.871 0.689 0.837  0.00
Be 0.629 0.163 0.311  0.00

Computed properties:
The calculation puts the total energy at -5.5849 eV/atom. For the uncorrected formation energy, the calculation gives -1.231 eV/atom. Its density of states at the Fermi level is 3.0 states/eV/cell.

BeAgSe2O after structural relaxation. Source: Alexandria, functional PBE.

Lattice parameters (Å, degrees): 4.331 4.797 4.331 90.00 90.00 90.00
Sites, in units of the cell vectors:
Be 0.000 0.000 0.000
Se 0.000 0.000 0.500
Se 0.500 0.000 0.000
O 0.500 0.500 0.500
Ag 0.000 0.500 0.000

Computed properties:
The calculation puts the total energy at -2.9759 eV/atom. For the uncorrected formation energy, the calculation gives 0.725 eV/atom. Its density of states at the Fermi level is 9.4 states/eV/cell.

Q: Which total magnetic moment values were calculated for the entries above? A: 0.8, 0.0, 0.6, 0.0, 0.9, 0.0, in μB/f.u..